Here is LiNF3 after structural relaxation from the Alexandria database. Energies are from PBEsol.

Calculated values
M_tot: 0.5 μB/f.u.
formation energy from raw total energies: -0.536 eV/atom

Cell lengths 3.7046, 3.7046, 3.7046 Å; angles 90.00, 90.00, 90.00 degrees
Atoms (fractional coordinates):
F (0.0000, 0.5000, 0.5000)
F (0.5000, 0.0000, 0.5000)
F (0.5000, 0.5000, 0.0000)
Li (0.0000, 0.0000, 0.0000)
N (0.5000, 0.5000, 0.5000)

Here is TlFeP2 after structural relaxation from the Alexandria database. Energies are from PBEsol.

Calculated values
energy relative to the elements: 0.68 eV per atom
ΔE to the lowest computed polymorph: 701 meV/atom
M_tot: 2.4 μB/f.u.

Cell lengths 3.4865, 4.5151, 4.5151 Å; angles 109.30, 90.00, 90.00 degrees
Atoms (fractional coordinates):
Fe (0.5000, 0.5000, 0.5000)
P (0.0000, 0.5000, 0.0000)
P (0.0000, 0.0000, 0.5000)
Tl (0.5000, 0.0000, 0.0000)

Here is LaScPb2 after structural relaxation from the Alexandria database. Energies are from PBEsol.

Calculated values
energy relative to the elements: -0.46 eV per atom
M_tot: 0.0 μB/f.u.

Cell lengths 4.5226, 4.5226, 6.2553 Å; angles 111.19, 111.19, 90.00 degrees
Atoms (fractional coordinates):
Pb (0.0000, 0.0000, 0.0000)
Pb (0.2500, 0.7500, 0.5000)
Sc (0.5000, 0.5000, 0.0000)
La (0.7500, 0.2500, 0.5000)